1.
Material: HgIrF2
Method: DFT, PBEsol
State: optimized geometry

POSCAR file:
```
HgIrF2
1.0
2.836 0.000 0.000
1.418 2.456 0.000
1.418 0.819 8.725
F Hg Ir
2 1 1
Direct
0.898 0.898 0.307 F
0.102 0.102 0.693 F
0.000 0.000 0.000 Hg
0.500 0.500 0.500 Ir
```

Results
Fermi-level density of states: 0.50 states/eV per atom
energy relative to the elements, uncorrected: -19.0 kJ/mol of atoms
symmetry: R-3m

***

2.
Material: HgIrNF2
Method: DFT, PBEsol
State: optimized geometry

POSCAR file:
```
HgIrNF2
1.0
3.695 0.000 0.000
0.000 4.355 0.000
0.000 0.000 4.355
Ir Hg F N
1 1 2 1
Direct
0.000 0.000 0.000 Ir
0.500 0.500 0.500 Hg
0.000 0.000 0.500 F
0.000 0.500 0.000 F
0.500 0.000 0.000 N
```

Results
Fermi-level density of states: 0.40 states/eV per atom
energy relative to the elements, uncorrected: -21.8 kJ/mol of atoms
symmetry: P4/mmm

***

Q: What is the formula in the first record?
A: HgIrF2

***

Q: Which formula does entry 2 have?
A: HgIrNF2

***

Q: Which of these has the lowest Fermi-level density of states?
A: HgIrNF2

***

Q: energy relative to the elements, uncorrected of number 2 (HgIrNF2)?
A: -21.8 kJ/mol of atoms